Entry from Alexandria: a geometry-optimized LaTcGe2Ru structure (PBE).

Calculated values
Formation energy in eV per atom: -0.5505
Crystal system: tetragonal

Structure (POSCAR):
```
LaTcGe2Ru
1.0
4.366 0.000 0.000
0.000 4.366 0.000
-2.183 -2.183 5.076
Tc Ge Ru La
1 2 1 1
Direct
0.750 0.250 0.500
0.635 0.635 0.270
0.365 0.365 0.730
0.250 0.750 0.500
0.000 0.000 0.000
```

***

Entry from Alexandria: a geometry-optimized La2VGeRu structure (PBE).

Calculated values
Formation energy in eV per atom: 0.6484
Crystal system: tetragonal

Structure (POSCAR):
```
La2VGeRu
1.0
-4.369 -1.082 2.515
-0.036 -4.272 -1.901
2.737 -1.796 3.984
Ge V Ru La
1 1 1 2
Direct
0.000 0.500 0.000
0.000 0.000 0.000
0.500 0.500 0.500
0.500 0.000 0.000
0.000 0.000 0.500
```